Material: Hg2TeRh2
Method: DFT, PBE-GGA
State: relaxed

Relative energy among the computed polymorphs (eV/atom): 0.000
Magnetization (μB/cell): 0.000
Total DFT energy (no corrections) (eV/atom): -3.60
D(E_F) (states/eV/cell): 4.974

a b c (Å): 6.9484 6.9484 4.1036
angles (deg): 90.00 90.00 90.00
Last column: nearest neighbours and their distance in Å.
Space group P4/mbm (No. 127)
Asymmetric unit:
Hg (0.1519, 0.3481, 0.0000) [4 per cell]  6 Rh 2.83-2.93, 1 Hg 2.98
Te (0.0000, 0.0000, 0.5000) [2 per cell]  4 Rh 2.65
Rh (0.1501, 0.6501, 0.5000) [4 per cell]  2 Te 2.65, 6 Hg 2.83-2.93, 1 Rh 2.95

Material: TiNbSnO6
Method: DFT, PBE-GGA
State: relaxed

Magnetization (μB/cell): 0.000
Total DFT energy (no corrections) (eV/atom): -8.08
D(E_F) (states/eV/cell): 3.629

a b c (Å): 5.1767 5.1767 9.3557
angles (deg): 90.00 90.00 120.00
Last column: nearest neighbours and their distance in Å.
Space group P-31c (No. 163)
Asymmetric unit:
Ti (0.3333, 0.6667, 0.2500) [2 per cell]  6 O 1.99
Nb (0.3333, 0.6667, 0.7500) [2 per cell]  6 O 2.03
Sn (0.0000, 0.0000, 0.0000) [2 per cell]  6 O 2.20
O (0.0052, 0.3528, 0.1327) [12 per cell]  1 Ti 1.99, 1 Nb 2.03, 1 Sn 2.20